Record 1
VASP calculation (GGA-PBE) on crystalline Tb5Th4 at its relaxed geometry.

Cell lengths 9.131, 9.131, 9.131 Å; angles 92.25, 92.25, 157.12 degrees
Atoms (fractional coordinates):
Tb 0.000 0.000 0.000
Tb 0.333 0.333 0.667
Tb 0.333 0.667 0.000
Tb 0.667 0.333 0.000
Tb 0.667 0.667 0.333
Th 0.000 0.337 0.337
Th 0.000 0.663 0.663
Th 0.337 0.000 0.337
Th 0.663 0.000 0.663

* space-group type: I4/mmm (139)
* offset from the most stable computed form: 81 meV per atom
* spin magnetization: 0.000 μB/f.u.
* E_form: 1.17 eV per formula unit

Record 2
VASP calculation (GGA-PBE) on crystalline TbTh3 at its relaxed geometry.

Cell lengths 6.894, 6.894, 6.894 Å; angles 150.08, 62.28, 126.75 degrees
Atoms (fractional coordinates):
Tb 0.000 0.000 0.000
Th 0.427 0.678 0.749
Th 0.508 0.008 0.500
Th 0.929 0.678 0.251

* space-group type: Imm2 (44)
* offset from the most stable computed form: 7 meV per atom
* spin magnetization: 0.000 μB/f.u.
* E_form: 0.22 eV per formula unit

Record 3
VASP calculation (GGA-PBE) on crystalline TbTh3 at its relaxed geometry.

Cell lengths 6.193, 6.193, 6.193 Å; angles 131.99, 131.99, 70.25 degrees
Atoms (fractional coordinates):
Tb 0.000 0.000 0.000
Th 0.250 0.750 0.500
Th 0.500 0.500 0.000
Th 0.750 0.250 0.500

* space-group type: I4/mmm (139)
* offset from the most stable computed form: 0 meV per atom
* spin magnetization: 0.000 μB/f.u.
* E_form: 0.19 eV per formula unit

Record 4
VASP calculation (GGA-PBE) on crystalline TbTh3 at its relaxed geometry.

Cell lengths 5.050, 5.050, 5.050 Å; angles 90.00, 90.00, 90.00 degrees
Atoms (fractional coordinates):
Tb 0.000 0.000 0.000
Th 0.000 0.500 0.500
Th 0.500 0.000 0.500
Th 0.500 0.500 0.000

* space-group type: Pm-3m (221)
* offset from the most stable computed form: 12 meV per atom
* spin magnetization: 0.000 μB/f.u.
* E_form: 0.24 eV per formula unit

Record 5
VASP calculation (GGA-PBE) on crystalline TbThTi at its relaxed geometry.

Cell lengths 3.562, 3.562, 12.676 Å; angles 90.00, 90.00, 90.00 degrees
Atoms (fractional coordinates):
Tb 0.250 0.250 0.107
Tb 0.750 0.750 0.893
Th 0.250 0.250 0.706
Th 0.750 0.750 0.294
Ti 0.250 0.250 0.446
Ti 0.750 0.750 0.554

* space-group type: P4/nmm (129)
* spin magnetization: 0.000 μB/f.u.
* E_form: 0.34 eV per formula unit

Record 6
VASP calculation (GGA-PBE) on crystalline TbThTi2 at its relaxed geometry.

Cell lengths 3.765, 3.765, 6.875 Å; angles 90.00, 90.00, 90.00 degrees
Atoms (fractional coordinates):
Tb 0.000 0.000 0.000
Th 0.000 0.000 0.500
Ti 0.500 0.500 0.292
Ti 0.500 0.500 0.708

* space-group type: P4/mmm (123)
* spin magnetization: 0.000 μB/f.u.
* E_form: 0.71 eV per formula unit

Record 7
VASP calculation (GGA-PBE) on crystalline TbThTi4 at its relaxed geometry.

Cell lengths 5.720, 5.720, 5.720 Å; angles 60.00, 60.00, 60.00 degrees
Atoms (fractional coordinates):
Tb 0.000 0.000 0.000
Th 0.250 0.250 0.250
Ti 0.128 0.624 0.624
Ti 0.624 0.128 0.624
Ti 0.624 0.624 0.128
Ti 0.624 0.624 0.624

* space-group type: F-43m (216)
* spin magnetization: 3.957 μB/f.u.
* E_form: 1.35 eV per formula unit

Record 8
VASP calculation (GGA-PBE) on crystalline Tb4ThTl at its relaxed geometry.

Cell lengths 5.814, 5.814, 11.062 Å; angles 115.23, 115.23, 34.70 degrees
Atoms (fractional coordinates):
Tb 0.151 0.151 0.351
Tb 0.343 0.343 0.160
Tb 0.657 0.657 0.840
Tb 0.849 0.849 0.649
Th 0.000 0.000 0.000
Tl 0.500 0.500 0.500

* space-group type: C2/m (12)
* offset from the most stable computed form: 168 meV per atom
* spin magnetization: 0.000 μB/f.u.
* E_form: 0.44 eV per formula unit

Record 9
VASP calculation (GGA-PBE) on crystalline Tb4ThTl2 at its relaxed geometry.

Cell lengths 9.390, 9.390, 9.390 Å; angles 34.20, 34.20, 34.20 degrees
Atoms (fractional coordinates):
Tb 0.128 0.128 0.128
Tb 0.260 0.260 0.260
Tb 0.740 0.740 0.740
Tb 0.872 0.872 0.872
Th 0.500 0.500 0.500
Tl 0.378 0.378 0.378
Tl 0.622 0.622 0.622

* space-group type: R-3m (166)
* offset from the most stable computed form: 153 meV per atom
* spin magnetization: 0.000 μB/f.u.
* E_form: 0.68 eV per formula unit

Record 10
VASP calculation (GGA-PBE) on crystalline Tb6ThTl3 at its relaxed geometry.

Cell lengths 10.060, 5.222, 11.388 Å; angles 90.00, 101.09, 90.00 degrees
Atoms (fractional coordinates):
Tb 0.051 0.250 0.404
Tb 0.145 0.750 0.190
Tb 0.230 0.250 0.982
Tb 0.321 0.750 0.786
Tb 0.365 0.250 0.276
Tb 0.426 0.250 0.596
Tb 0.574 0.750 0.404
Tb 0.635 0.750 0.724
Tb 0.679 0.250 0.214
Tb 0.770 0.750 0.018
Tb 0.855 0.250 0.810
Tb 0.949 0.750 0.596
Th 0.455 0.750 0.094
Th 0.545 0.250 0.906
Tl 0.038 0.750 0.891
Tl 0.139 0.250 0.691
Tl 0.266 0.750 0.472
Tl 0.734 0.250 0.528
Tl 0.861 0.750 0.309
Tl 0.962 0.250 0.109

* space-group type: P2_1/m (11)
* spin magnetization: 0.000 μB/f.u.
* E_form: -2.08 eV per formula unit

Record 11
VASP calculation (GGA-PBE) on crystalline TbThTl6 at its relaxed geometry.

Cell lengths 4.794, 4.794, 9.578 Å; angles 90.00, 90.00, 90.00 degrees
Atoms (fractional coordinates):
Tb 0.000 0.000 0.000
Th 0.000 0.000 0.500
Tl 0.000 0.500 0.245
Tl 0.000 0.500 0.755
Tl 0.500 0.000 0.245
Tl 0.500 0.000 0.755
Tl 0.500 0.500 0.000
Tl 0.500 0.500 0.500

* space-group type: P4/mmm (123)
* spin magnetization: 0.000 μB/f.u.
* E_form: -1.60 eV per formula unit

Record 12
VASP calculation (GGA-PBE) on crystalline Tb4ThTl at its relaxed geometry.

Cell lengths 3.607, 3.607, 14.248 Å; angles 90.00, 90.00, 90.00 degrees
Atoms (fractional coordinates):
Tb 0.000 0.000 0.148
Tb 0.000 0.000 0.852
Tb 0.500 0.500 0.331
Tb 0.500 0.500 0.669
Th 0.000 0.000 0.500
Tl 0.500 0.500 0.000

* space-group type: P4/mmm (123)
* offset from the most stable computed form: 0 meV per atom
* spin magnetization: 0.000 μB/f.u.
* E_form: -0.57 eV per formula unit

Record 13
VASP calculation (GGA-PBE) on crystalline Tb2ThTl at its relaxed geometry.

Cell lengths 5.487, 5.487, 5.487 Å; angles 60.00, 60.00, 60.00 degrees
Atoms (fractional coordinates):
Tb 0.250 0.250 0.250
Tb 0.750 0.750 0.750
Th 0.000 0.000 0.000
Tl 0.500 0.500 0.500

* space-group type: Fm-3m (225)
* offset from the most stable computed form: 249 meV per atom
* spin magnetization: 0.007 μB/f.u.
* E_form: 0.23 eV per formula unit

Record 14
VASP calculation (GGA-PBE) on crystalline Tb2Th2Tl3 at its relaxed geometry.

Cell lengths 16.419, 16.419, 3.518 Å; angles 90.00, 90.00, 167.58 degrees
Atoms (fractional coordinates):
Tb 0.066 0.934 0.000
Tb 0.934 0.066 0.000
Th 0.205 0.795 0.000
Th 0.795 0.205 0.000
Tl 0.366 0.634 0.500
Tl 0.500 0.500 0.500
Tl 0.634 0.366 0.500

* space-group type: Cmmm (65)
* spin magnetization: 0.000 μB/f.u.
* E_form: -0.94 eV per formula unit

Record 15
VASP calculation (GGA-PBE) on crystalline TbThTl2 at its relaxed geometry.

Cell lengths 5.026, 5.026, 4.524 Å; angles 90.00, 90.00, 90.00 degrees
Atoms (fractional coordinates):
Tb 0.000 0.000 0.000
Th 0.500 0.500 0.000
Tl 0.000 0.500 0.500
Tl 0.500 0.000 0.500

* space-group type: P4/mmm (123)
* spin magnetization: 0.001 μB/f.u.
* E_form: -0.86 eV per formula unit

Record 16
VASP calculation (GGA-PBE) on crystalline Tb2ThTl at its relaxed geometry.

Cell lengths 4.949, 4.949, 4.788 Å; angles 90.00, 90.00, 90.00 degrees
Atoms (fractional coordinates):
Tb 0.000 0.500 0.000
Tb 0.500 0.000 0.000
Th 0.000 0.000 0.500
Tl 0.500 0.500 0.500

* space-group type: P4/mmm (123)
* offset from the most stable computed form: 66 meV per atom
* spin magnetization: 0.000 μB/f.u.
* E_form: -0.50 eV per formula unit

Record 17
VASP calculation (GGA-PBE) on crystalline Tb2ThTl at its relaxed geometry.

Cell lengths 3.615, 3.615, 9.055 Å; angles 90.00, 90.00, 90.00 degrees
Atoms (fractional coordinates):
Tb 0.000 0.000 0.235
Tb 0.000 0.000 0.765
Th 0.500 0.500 0.500
Tl 0.500 0.500 0.000

* space-group type: P4/mmm (123)
* offset from the most stable computed form: 0 meV per atom
* spin magnetization: 0.000 μB/f.u.
* E_form: -0.76 eV per formula unit

Record 18
VASP calculation (GGA-PBE) on crystalline Tb2ThTl2 at its relaxed geometry.

Cell lengths 5.304, 5.304, 6.603 Å; angles 90.00, 90.00, 120.00 degrees
Atoms (fractional coordinates):
Tb 0.333 0.667 0.170
Tb 0.667 0.333 0.830
Th 0.000 0.000 0.500
Tl 0.333 0.667 0.695
Tl 0.667 0.333 0.305

* space-group type: P-3m1 (164)
* spin magnetization: 0.001 μB/f.u.
* E_form: -0.16 eV per formula unit

Record 19
VASP calculation (GGA-PBE) on crystalline Tb4ThTl2 at its relaxed geometry.

Cell lengths 6.765, 6.765, 4.858 Å; angles 90.00, 90.00, 99.88 degrees
Atoms (fractional coordinates):
Tb 0.000 0.500 0.500
Tb 0.208 0.208 0.000
Tb 0.500 0.000 0.500
Tb 0.792 0.792 0.000
Th 0.500 0.500 0.500
Tl 0.273 0.727 0.000
Tl 0.727 0.273 0.000

* space-group type: Cmmm (65)
* offset from the most stable computed form: 0 meV per atom
* spin magnetization: 0.000 μB/f.u.
* E_form: -0.39 eV per formula unit

Record 20
VASP calculation (GGA-PBE) on crystalline Tb2ThTl at its relaxed geometry.

Cell lengths 5.518, 5.518, 5.518 Å; angles 59.96, 59.96, 59.96 degrees
Atoms (fractional coordinates):
Tb 0.000 0.000 0.000
Tb 0.250 0.250 0.250
Th 0.500 0.500 0.500
Tl 0.750 0.750 0.750

* space-group type: R3m (160)
* offset from the most stable computed form: 217 meV per atom
* spin magnetization: 0.000 μB/f.u.
* E_form: 0.11 eV per formula unit

Record 21
VASP calculation (GGA-PBE) on crystalline TbThTl2 at its relaxed geometry.

Cell lengths 3.586, 3.586, 8.817 Å; angles 90.00, 90.00, 90.00 degrees
Atoms (fractional coordinates):
Tb 0.000 0.000 0.000
Th 0.000 0.000 0.500
Tl 0.500 0.500 0.241
Tl 0.500 0.500 0.759

* space-group type: P4/mmm (123)
* spin magnetization: 0.000 μB/f.u.
* E_form: -0.98 eV per formula unit

Record 22
VASP calculation (GGA-PBE) on crystalline TbThTl3 at its relaxed geometry.

Cell lengths 8.220, 8.220, 8.741 Å; angles 90.01, 90.01, 86.11 degrees
Atoms (fractional coordinates):
Tb 0.129 0.871 0.750
Tb 0.371 0.629 0.250
Tb 0.629 0.371 0.750
Tb 0.871 0.129 0.250
Th 0.153 0.346 0.576
Th 0.346 0.153 0.076
Th 0.654 0.847 0.924
Th 0.847 0.654 0.424
Tl 0.029 0.798 0.098
Tl 0.081 0.419 0.213
Tl 0.202 0.971 0.402
Tl 0.298 0.529 0.902
Tl 0.419 0.081 0.713
Tl 0.471 0.702 0.598
Tl 0.529 0.298 0.402
Tl 0.581 0.919 0.287
Tl 0.702 0.471 0.098
Tl 0.798 0.029 0.598
Tl 0.919 0.581 0.787
Tl 0.971 0.202 0.902

* space-group type: C2/c (15)
* spin magnetization: 0.000 μB/f.u.
* E_form: -0.55 eV per formula unit

Record 23
VASP calculation (GGA-PBE) on crystalline Tb5ThTl6 at its relaxed geometry.

Cell lengths 9.383, 9.383, 9.383 Å; angles 146.34, 132.47, 59.50 degrees
Atoms (fractional coordinates):
Tb 0.000 0.000 0.000
Tb 0.169 0.669 0.500
Tb 0.340 0.340 0.000
Tb 0.660 0.660 0.000
Tb 0.831 0.331 0.500
Th 0.500 0.000 0.500
Tl 0.073 0.830 0.243
Tl 0.236 0.500 0.736
Tl 0.413 0.170 0.243
Tl 0.587 0.830 0.757
Tl 0.764 0.500 0.264
Tl 0.927 0.170 0.757

* space-group type: Immm (71)
* offset from the most stable computed form: 0 meV per atom
* spin magnetization: 0.000 μB/f.u.
* E_form: -3.67 eV per formula unit

Record 24
VASP calculation (GGA-PBE) on crystalline Tb2Th2Tl7 at its relaxed geometry.

Cell lengths 7.576, 7.576, 6.067 Å; angles 95.89, 95.89, 79.39 degrees
Atoms (fractional coordinates):
Tb 0.187 0.813 0.000
Tb 0.813 0.187 0.000
Th 0.269 0.269 0.310
Th 0.731 0.731 0.690
Tl 0.000 0.000 0.500
Tl 0.061 0.400 0.771
Tl 0.400 0.061 0.771
Tl 0.461 0.461 0.755
Tl 0.539 0.539 0.245
Tl 0.600 0.939 0.229
Tl 0.939 0.600 0.229

* space-group type: C2/m (12)
* spin magnetization: 0.000 μB/f.u.
* E_form: 0.32 eV per formula unit

Record 25
VASP calculation (GGA-PBE) on crystalline Tb2ThTl4 at its relaxed geometry.

Cell lengths 5.223, 5.223, 7.847 Å; angles 90.00, 90.00, 90.00 degrees
Atoms (fractional coordinates):
Tb 0.000 0.000 0.000
Tb 0.500 0.500 0.500
Th 0.000 0.000 0.500
Tl 0.000 0.500 0.227
Tl 0.000 0.500 0.773
Tl 0.500 0.000 0.227
Tl 0.500 0.000 0.773

* space-group type: P4/mmm (123)
* offset from the most stable computed form: 0 meV per atom
* spin magnetization: 0.000 μB/f.u.
* E_form: -0.97 eV per formula unit

Record 26
VASP calculation (GGA-PBE) on crystalline Tb3ThTl2 at its relaxed geometry.

Cell lengths 3.633, 3.633, 13.147 Å; angles 90.00, 90.00, 90.00 degrees
Atoms (fractional coordinates):
Tb 0.000 0.000 0.000
Tb 0.000 0.000 0.319
Tb 0.000 0.000 0.681
Th 0.500 0.500 0.500
Tl 0.500 0.500 0.160
Tl 0.500 0.500 0.840

* space-group type: P4/mmm (123)
* spin magnetization: 0.132 μB/f.u.
* E_form: -1.47 eV per formula unit